The following is a DFT calculation (PBE) of a relaxed structure of U2P6Pd21.

Properties
As for the space-group type: Fm-3m. The energy relative to the elements is -14.3 eV/f.u. For the total DFT energy (no corrections), the calculation gives -0.2261 hartree per atom.

Structure (POSCAR):
```
U2P6Pd21
1.0
0.000 6.116 6.116
6.116 0.000 6.116
6.116 6.116 0.000
U P Pd
2 6 21
direct
0.250 0.250 0.250
0.750 0.750 0.750
0.240 0.240 0.760
0.240 0.760 0.240
0.240 0.760 0.760
0.760 0.240 0.240
0.760 0.240 0.760
0.760 0.760 0.240
0.116 0.116 0.116
0.116 0.116 0.653
0.116 0.653 0.116
0.155 0.500 0.500
0.155 0.500 0.845
0.155 0.845 0.500
0.347 0.884 0.884
0.500 0.155 0.500
0.500 0.155 0.845
0.500 0.500 0.155
0.500 0.500 0.500
0.500 0.500 0.845
0.500 0.845 0.155
0.500 0.845 0.500
0.653 0.116 0.116
0.845 0.155 0.500
0.845 0.500 0.155
0.845 0.500 0.500
0.884 0.347 0.884
0.884 0.884 0.347
0.884 0.884 0.884
```